# BaTeN2O PBE relaxed
data_BaTeN2O
_space_group_name_H-M_alt 'P 4/m m m'
_space_group_IT_number 123
_space_group_name_Hall '-P 4 2'
_cell_length_a 4.131
_cell_length_b 4.131
_cell_length_c 4.352
_cell_angle_alpha 90.00
_cell_angle_beta 90.00
_cell_angle_gamma 90.00
loop_
_atom_site_label
_atom_site_type_symbol
_atom_site_fract_x
_atom_site_fract_y
_atom_site_fract_z
_atom_site_occupancy
Ba1 Ba 0.000 0.000 0.000 1
Te1 Te 0.500 0.500 0.500 1
N1 N 0.000 0.500 0.500 1
O1 O 0.500 0.500 0.000 1
# uncorrected formation energy: -1.079 eV/f.u.
# density of states at the Fermi level: 0.67 states/eV/cell